[1]
# PBE TcRuPt4, optimized geometry
# Distance to the lowest polymorph of the same formula: 491.7 meV per atom
data_TcRuPt4
_cell_length_a 7.3480
_cell_length_b 7.3480
_cell_length_c 7.3480
_cell_angle_alpha 90.00
_cell_angle_beta 90.00
_cell_angle_gamma 90.00
_symmetry_space_group_name_H-M 'F -4 3 m'
_symmetry_Int_Tables_number 216
_symmetry_space_group_name_Hall 'F -4 2 3'
loop_
_atom_site_label
_atom_site_type_symbol
_atom_site_fract_x
_atom_site_fract_y
_atom_site_fract_z
Tc1 Tc 0.0000 0.0000 0.0000
Ru1 Ru 0.2500 0.2500 0.2500
Pt1 Pt 0.1249 0.1249 0.6249

=====

[2]
# PBE TcRuPt2, optimized geometry
# Distance to the lowest polymorph of the same formula: 101.9 meV per atom
data_TcRuPt2
_cell_length_a 5.4617
_cell_length_b 7.9439
_cell_length_c 2.7354
_cell_angle_alpha 90.00
_cell_angle_beta 90.00
_cell_angle_gamma 90.00
_symmetry_space_group_name_H-M 'C m m m'
_symmetry_Int_Tables_number 65
_symmetry_space_group_name_Hall '-C 2 2'
loop_
_atom_site_label
_atom_site_type_symbol
_atom_site_fract_x
_atom_site_fract_y
_atom_site_fract_z
Tc1 Tc 0.0000 0.0000 0.0000
Ru1 Ru 0.0000 0.5000 0.0000
Pt1 Pt 0.2500 0.2500 0.5000

=====

[3]
# PBE Tc2Ru3Pt2, optimized geometry
# Raw total energy: -8.64 eV/atom
data_Tc2Ru3Pt2
_cell_length_a 3.9368
_cell_length_b 19.5564
_cell_length_c 2.6944
_cell_angle_alpha 90.00
_cell_angle_beta 90.00
_cell_angle_gamma 90.00
_symmetry_space_group_name_H-M 'C m m m'
_symmetry_Int_Tables_number 65
_symmetry_space_group_name_Hall '-C 2 2'
loop_
_atom_site_label
_atom_site_type_symbol
_atom_site_fract_x
_atom_site_fract_y
_atom_site_fract_z
Tc1 Tc 0.0000 0.1359 0.0000
Ru1 Ru 0.0000 0.0000 0.0000
Ru2 Ru 0.0000 0.4329 0.5000
Pt1 Pt 0.0000 0.2954 0.5000

=====

[4]
# PBE TcRu4Pt, optimized geometry
# Distance to the lowest polymorph of the same formula: 127.8 meV per atom
data_TcRu4Pt
_cell_length_a 7.1205
_cell_length_b 7.1205
_cell_length_c 7.1205
_cell_angle_alpha 90.00
_cell_angle_beta 90.00
_cell_angle_gamma 90.00
_symmetry_space_group_name_H-M 'F -4 3 m'
_symmetry_Int_Tables_number 216
_symmetry_space_group_name_Hall 'F -4 2 3'
loop_
_atom_site_label
_atom_site_type_symbol
_atom_site_fract_x
_atom_site_fract_y
_atom_site_fract_z
Tc1 Tc 0.0000 0.0000 0.0000
Ru1 Ru 0.1247 0.1247 0.3753
Pt1 Pt 0.2500 0.2500 0.7500

=====

[5]
# PBE Tc3RuPt, optimized geometry
# Distance to the lowest polymorph of the same formula: 0.0 meV per atom
data_Tc3RuPt
_cell_length_a 4.5753
_cell_length_b 4.5753
_cell_length_c 4.5753
_cell_angle_alpha 90.00
_cell_angle_beta 90.00
_cell_angle_gamma 90.00
_symmetry_space_group_name_H-M 'P m -3 m'
_symmetry_Int_Tables_number 221
_symmetry_space_group_name_Hall '-P 4 2 3'
loop_
_atom_site_label
_atom_site_type_symbol
_atom_site_fract_x
_atom_site_fract_y
_atom_site_fract_z
Tc1 Tc 0.0000 0.0000 0.5000
Ru1 Ru 0.0000 0.0000 0.0000
Pt1 Pt 0.5000 0.5000 0.5000

=====

[6]
# PBE TcRuPt2, optimized geometry
# Distance to the lowest polymorph of the same formula: 19.9 meV per atom
data_TcRuPt2
_cell_length_a 2.7458
_cell_length_b 3.8928
_cell_length_c 5.5672
_cell_angle_alpha 90.00
_cell_angle_beta 90.00
_cell_angle_gamma 90.00
_symmetry_space_group_name_H-M 'P m m 2'
_symmetry_Int_Tables_number 25
_symmetry_space_group_name_Hall 'P 2 -2'
loop_
_atom_site_label
_atom_site_type_symbol
_atom_site_fract_x
_atom_site_fract_y
_atom_site_fract_z
Tc1 Tc 0.0000 0.0000 0.0000
Ru1 Ru 0.5000 0.5000 0.7767
Pt1 Pt 0.0000 0.0000 0.5186
Pt2 Pt 0.5000 0.5000 0.2568

=====

[7]
# PBE TcRuPt4, optimized geometry
# Distance to the lowest polymorph of the same formula: 0.0 meV per atom
data_TcRuPt4
_cell_length_a 2.7731
_cell_length_b 3.9325
_cell_length_c 8.2982
_cell_angle_alpha 90.00
_cell_angle_beta 90.00
_cell_angle_gamma 90.00
_symmetry_space_group_name_H-M 'P m m m'
_symmetry_Int_Tables_number 47
_symmetry_space_group_name_Hall '-P 2 2'
loop_
_atom_site_label
_atom_site_type_symbol
_atom_site_fract_x
_atom_site_fract_y
_atom_site_fract_z
Tc1 Tc 0.0000 0.0000 0.0000
Ru1 Ru 0.5000 0.5000 0.5000
Pt1 Pt 0.0000 0.0000 0.3360
Pt2 Pt 0.5000 0.5000 0.1627

=====

[8]
# PBE TcRuPt2, optimized geometry
# Distance to the lowest polymorph of the same formula: 452.2 meV per atom
data_TcRuPt2
_cell_length_a 6.2516
_cell_length_b 6.2516
_cell_length_c 6.2516
_cell_angle_alpha 90.00
_cell_angle_beta 90.00
_cell_angle_gamma 90.00
_symmetry_space_group_name_H-M 'F m -3 m'
_symmetry_Int_Tables_number 225
_symmetry_space_group_name_Hall '-F 4 2 3'
loop_
_atom_site_label
_atom_site_type_symbol
_atom_site_fract_x
_atom_site_fract_y
_atom_site_fract_z
Tc1 Tc 0.0000 0.0000 0.0000
Ru1 Ru 0.0000 0.0000 0.5000
Pt1 Pt 0.2500 0.2500 0.2500

=====

> Which formula does entry 3 have?

Tc2Ru3Pt2